Material: HfTeSe3
Method: DFT, PBE
State: relaxed Values from VASP.

The structure in Quantum ESPRESSO input format:
```
&SYSTEM
  ibrav = 0, nat = 5, ntyp = 3
/
ATOMIC_SPECIES
Hf 178.49 Hf.upf
Se 78.96 Se.upf
Te 127.60 Te.upf
CELL_PARAMETERS angstrom
5.167 0.000 0.000
0.000 5.167 0.000
0.000 0.000 5.167
ATOMIC_POSITIONS crystal
Hf 0.000 0.000 0.000
Se 0.000 0.500 0.000
Se 0.500 0.000 0.000
Se 0.000 0.000 0.500
Te 0.500 0.500 0.500
```

Results
For the density of states at the Fermi level, the calculation gives 5.13 states/eV per cell. The space group is No. 221. For the raw formation energy, the calculation gives -0.238 eV/atom.